No. 1
VASP calculation (PBE-GGA) on crystalline Er5MgRu4 at its relaxed geometry.

Values from the calculation:
spin magnetization = 0.00 μB/f.u.
formation enthalpy at 0 K = -0.38 eV/atom
VASP energy = -6.53 eV/atom
crystal system = tetragonal

Cell and atoms, written as CIF:
```
data_Er5MgRu4
_symmetry_space_group_name_H-M 'P 1'
_symmetry_Int_Tables_number 1
_cell_length_a 3.3828
_cell_length_b 3.3828
_cell_length_c 18.2564
_cell_angle_alpha 90.00
_cell_angle_beta 90.00
_cell_angle_gamma 90.00
loop_
_symmetry_equiv_pos_as_xyz
'x,y,z'
loop_
_atom_site_label
_atom_site_fract_x
_atom_site_fract_y
_atom_site_fract_z
_atom_site_occupancy
Er1 0.0000 0.0000 0.0000 1
Er2 0.0000 0.0000 0.1832 1
Er3 0.0000 0.0000 0.3658 1
Er4 0.0000 0.0000 0.6342 1
Er5 0.0000 0.0000 0.8168 1
Mg1 0.5000 0.5000 0.5000 1
Ru1 0.5000 0.5000 0.0929 1
Ru2 0.5000 0.5000 0.2815 1
Ru3 0.5000 0.5000 0.7185 1
Ru4 0.5000 0.5000 0.9071 1
```



No. 2
VASP calculation (PBE-GGA) on crystalline NaCdIn3 at its relaxed geometry.

Values from the calculation:
spin magnetization = 0.00 μB/f.u.
formation enthalpy at 0 K = -0.04 eV/atom
VASP energy = -2.13 eV/atom
crystal system = monoclinic

Cell and atoms, written as CIF:
```
data_NaCdIn3
_symmetry_space_group_name_H-M 'P 1'
_symmetry_Int_Tables_number 1
_cell_length_a 9.4453
_cell_length_b 7.6294
_cell_length_c 8.2423
_cell_angle_alpha 90.00
_cell_angle_beta 115.69
_cell_angle_gamma 90.00
loop_
_symmetry_equiv_pos_as_xyz
'x,y,z'
loop_
_atom_site_label
_atom_site_fract_x
_atom_site_fract_y
_atom_site_fract_z
_atom_site_occupancy
Na1 0.0827 0.1955 0.0418 1
Na2 0.0827 0.3045 0.5418 1
Na3 0.9173 0.6955 0.4582 1
Na4 0.9173 0.8045 0.9582 1
Cd1 0.1741 0.5596 0.2723 1
Cd2 0.1741 0.9404 0.7723 1
Cd3 0.8259 0.0596 0.2277 1
Cd4 0.8259 0.4404 0.7277 1
In1 0.1795 0.5594 0.9061 1
In2 0.1795 0.9406 0.4061 1
In3 0.3633 0.6168 0.6785 1
In4 0.3633 0.8832 0.1785 1
In5 0.4043 0.2441 0.9570 1
In6 0.4043 0.2559 0.4570 1
In7 0.5957 0.7441 0.5430 1
In8 0.5957 0.7559 0.0430 1
In9 0.6367 0.1168 0.8215 1
In10 0.6367 0.3832 0.3215 1
In11 0.8205 0.0594 0.5939 1
In12 0.8205 0.4406 0.0939 1
```



No. 3
VASP calculation (PBE-GGA) on crystalline Nb2TcIr2 at its relaxed geometry.

Values from the calculation:
spin magnetization = 3.02 μB/f.u.
formation enthalpy at 0 K = 0.30 eV/atom
VASP energy = -9.34 eV/atom
crystal system = tetragonal

Cell and atoms, written as CIF:
```
data_Nb2TcIr2
_symmetry_space_group_name_H-M 'P 1'
_symmetry_Int_Tables_number 1
_cell_length_a 6.0135
_cell_length_b 6.0135
_cell_length_c 6.0135
_cell_angle_alpha 137.84
_cell_angle_beta 137.84
_cell_angle_gamma 61.15
loop_
_symmetry_equiv_pos_as_xyz
'x,y,z'
loop_
_atom_site_label
_atom_site_fract_x
_atom_site_fract_y
_atom_site_fract_z
_atom_site_occupancy
Nb1 0.2500 0.7500 0.5000 1
Nb2 0.7500 0.2500 0.5000 1
Tc1 0.0000 0.0000 0.0000 1
Ir1 0.3807 0.3807 0.0000 1
Ir2 0.6193 0.6193 0.0000 1
```



No. 4
VASP calculation (PBE-GGA) on crystalline CaSeS2 at its relaxed geometry.

Values from the calculation:
uncorrected formation energy = -224.1 kJ/mol of formula units
spin magnetization = 0.00 μB/f.u.
VASP energy = -4.02 eV/atom
crystal system = tetragonal

Cell and atoms, written as CIF:
```
data_CaSeS2
_symmetry_space_group_name_H-M 'P 1'
_symmetry_Int_Tables_number 1
_cell_length_a 8.4347
_cell_length_b 8.4347
_cell_length_c 8.4347
_cell_angle_alpha 142.61
_cell_angle_beta 142.61
_cell_angle_gamma 53.91
loop_
_symmetry_equiv_pos_as_xyz
'x,y,z'
loop_
_atom_site_label
_atom_site_fract_x
_atom_site_fract_y
_atom_site_fract_z
_atom_site_occupancy
Ca1 0.0000 0.0000 0.0000 1
Ca2 0.7500 0.2500 0.5000 1
Se1 0.2500 0.7500 0.5000 1
Se2 0.5000 0.5000 0.0000 1
S1 0.1709 0.6250 0.0459 1
S2 0.3750 0.4209 0.5459 1
S3 0.5791 0.1250 0.9541 1
S4 0.8750 0.8291 0.4541 1
```



No. 5
VASP calculation (PBE-GGA) on crystalline Pu2Ga3Ni at its relaxed geometry.

Values from the calculation:
spin magnetization = 11.14 μB/f.u.
formation enthalpy at 0 K = -0.36 eV/atom
VASP energy = -7.61 eV/atom
crystal system = monoclinic

Cell and atoms, written as CIF:
```
data_Pu2Ga3Ni
_symmetry_space_group_name_H-M 'P 1'
_symmetry_Int_Tables_number 1
_cell_length_a 5.4785
_cell_length_b 5.4785
_cell_length_c 6.9571
_cell_angle_alpha 126.86
_cell_angle_beta 126.86
_cell_angle_gamma 47.62
loop_
_symmetry_equiv_pos_as_xyz
'x,y,z'
loop_
_atom_site_label
_atom_site_fract_x
_atom_site_fract_y
_atom_site_fract_z
_atom_site_occupancy
Pu1 0.0000 0.0000 0.0000 1
Pu2 0.1088 0.1088 0.6067 1
Ga1 0.3857 0.3857 0.2085 1
Ga2 0.6961 0.6961 0.9913 1
Ga3 0.7286 0.7286 0.4110 1
Ni1 0.3847 0.3847 0.5811 1
```



No. 6
VASP calculation (PBE-GGA) on crystalline Zn2CoIr at its relaxed geometry.

Values from the calculation:
spin magnetization = 0.00 μB/f.u.
formation enthalpy at 0 K = -0.07 eV/atom
VASP energy = -4.70 eV/atom
crystal system = monoclinic

Cell and atoms, written as CIF:
```
data_Zn2CoIr
_symmetry_space_group_name_H-M 'P 1'
_symmetry_Int_Tables_number 1
_cell_length_a 4.9780
_cell_length_b 4.9780
_cell_length_c 4.4960
_cell_angle_alpha 114.70
_cell_angle_beta 114.70
_cell_angle_gamma 31.88
loop_
_symmetry_equiv_pos_as_xyz
'x,y,z'
loop_
_atom_site_label
_atom_site_fract_x
_atom_site_fract_y
_atom_site_fract_z
_atom_site_occupancy
Zn1 0.0000 0.0000 0.0000 1
Zn2 0.2330 0.2330 0.5952 1
Co1 0.7473 0.7473 0.0913 1
Ir1 0.4766 0.4766 0.4836 1
```



No. 7
VASP calculation (PBE-GGA) on crystalline AcLa5DyEr2 at its relaxed geometry.

Values from the calculation:
spin magnetization = 0.00 μB/f.u.
formation enthalpy at 0 K = 0.15 eV/atom
VASP energy = -4.57 eV/atom
crystal system = orthorhombic

Cell and atoms, written as CIF:
```
data_AcLa5DyEr2
_symmetry_space_group_name_H-M 'P 1'
_symmetry_Int_Tables_number 1
_cell_length_a 12.5991
_cell_length_b 12.5991
_cell_length_c 9.6118
_cell_angle_alpha 90.00
_cell_angle_beta 90.00
_cell_angle_gamma 154.18
loop_
_symmetry_equiv_pos_as_xyz
'x,y,z'
loop_
_atom_site_label
_atom_site_fract_x
_atom_site_fract_y
_atom_site_fract_z
_atom_site_occupancy
Ac1 0.1034 0.8966 0.5000 1
Ac2 0.8966 0.1034 0.0000 1
La1 0.0251 0.9749 0.8316 1
La2 0.1078 0.8922 0.1065 1
La3 0.1881 0.8119 0.7998 1
La4 0.2407 0.7593 0.4282 1
La5 0.4910 0.5090 0.6174 1
La6 0.5090 0.4910 0.1174 1
La7 0.7593 0.2407 0.9282 1
La8 0.8119 0.1881 0.2998 1
La9 0.8922 0.1078 0.6065 1
La10 0.9749 0.0251 0.3316 1
Dy1 0.2705 0.7295 0.1056 1
Dy2 0.7295 0.2705 0.6056 1
Er1 0.3255 0.6745 0.7472 1
Er2 0.3883 0.6117 0.3652 1
Er3 0.6117 0.3883 0.8652 1
Er4 0.6745 0.3255 0.2472 1
```



No. 8
VASP calculation (PBE-GGA) on crystalline AcPmTmLu at its relaxed geometry.

Values from the calculation:
spin magnetization = 0.00 μB/f.u.
formation enthalpy at 0 K = 0.10 eV/atom
VASP energy = -4.37 eV/atom
crystal system = cubic

Cell and atoms, written as CIF:
```
data_AcPmTmLu
_symmetry_space_group_name_H-M 'P 1'
_symmetry_Int_Tables_number 1
_cell_length_a 5.8106
_cell_length_b 5.8106
_cell_length_c 5.8106
_cell_angle_alpha 60.00
_cell_angle_beta 60.00
_cell_angle_gamma 60.00
loop_
_symmetry_equiv_pos_as_xyz
'x,y,z'
loop_
_atom_site_label
_atom_site_fract_x
_atom_site_fract_y
_atom_site_fract_z
_atom_site_occupancy
Ac1 0.0000 0.0000 0.0000 1
Pm1 0.5000 0.5000 0.5000 1
Tm1 0.2500 0.2500 0.2500 1
Lu1 0.7500 0.7500 0.7500 1
```



No. 9
VASP calculation (PBE-GGA) on crystalline CsCa2GeS at its relaxed geometry.

Values from the calculation:
uncorrected formation energy = -242.0 kJ/mol of formula units
spin magnetization = 0.98 μB/f.u.
VASP energy = -3.22 eV/atom
crystal system = tetragonal

Cell and atoms, written as CIF:
```
data_CsCa2GeS
_symmetry_space_group_name_H-M 'P 1'
_symmetry_Int_Tables_number 1
_cell_length_a 5.4292
_cell_length_b 5.4292
_cell_length_c 6.3233
_cell_angle_alpha 90.00
_cell_angle_beta 90.00
_cell_angle_gamma 90.00
loop_
_symmetry_equiv_pos_as_xyz
'x,y,z'
loop_
_atom_site_label
_atom_site_fract_x
_atom_site_fract_y
_atom_site_fract_z
_atom_site_occupancy
Cs1 0.0000 0.0000 0.0000 1
Ca1 0.0000 0.5000 0.5000 1
Ca2 0.5000 0.0000 0.5000 1
Ge1 0.5000 0.5000 0.0000 1
S1 0.0000 0.0000 0.5000 1
```



No. 10
VASP calculation (PBE-GGA) on crystalline SmZn12Ag4 at its relaxed geometry.

Values from the calculation:
spin magnetization = 0.00 μB/f.u.
formation enthalpy at 0 K = 0.19 eV/atom
VASP energy = -1.66 eV/atom
crystal system = cubic

Cell and atoms, written as CIF:
```
data_SmZn12Ag4
_symmetry_space_group_name_H-M 'P 1'
_symmetry_Int_Tables_number 1
_cell_length_a 7.6747
_cell_length_b 7.6747
_cell_length_c 7.6747
_cell_angle_alpha 109.47
_cell_angle_beta 109.47
_cell_angle_gamma 109.47
loop_
_symmetry_equiv_pos_as_xyz
'x,y,z'
loop_
_atom_site_label
_atom_site_fract_x
_atom_site_fract_y
_atom_site_fract_z
_atom_site_occupancy
Sm1 0.0000 0.0000 0.0000 1
Zn1 0.1458 0.5032 0.3573 1
Zn2 0.1458 0.7885 0.6427 1
Zn3 0.2115 0.3573 0.8542 1
Zn4 0.3573 0.1458 0.5032 1
Zn5 0.3573 0.8542 0.2115 1
Zn6 0.4968 0.6427 0.8542 1
Zn7 0.5032 0.3573 0.1458 1
Zn8 0.6427 0.1458 0.7885 1
Zn9 0.6427 0.8542 0.4968 1
Zn10 0.7885 0.6427 0.1458 1
Zn11 0.8542 0.2115 0.3573 1
Zn12 0.8542 0.4968 0.6427 1
Ag1 0.0000 0.0000 0.5000 1
Ag2 0.0000 0.5000 0.0000 1
Ag3 0.5000 0.0000 0.0000 1
Ag4 0.5000 0.5000 0.5000 1
```



No. 11
VASP calculation (PBE-GGA) on crystalline Cr2Co at its relaxed geometry.

Values from the calculation:
spin magnetization = 0.00 μB/f.u.
formation enthalpy at 0 K = 0.50 eV/atom
VASP energy = -8.29 eV/atom
crystal system = orthorhombic

Cell and atoms, written as CIF:
```
data_Cr2Co
_symmetry_space_group_name_H-M 'P 1'
_symmetry_Int_Tables_number 1
_cell_length_a 8.4944
_cell_length_b 8.4944
_cell_length_c 8.4944
_cell_angle_alpha 163.56
_cell_angle_beta 155.01
_cell_angle_gamma 30.06
loop_
_symmetry_equiv_pos_as_xyz
'x,y,z'
loop_
_atom_site_label
_atom_site_fract_x
_atom_site_fract_y
_atom_site_fract_z
_atom_site_occupancy
Cr1 0.2882 0.0382 0.2500 1
Cr2 0.4344 0.1844 0.2500 1
Cr3 0.5656 0.8156 0.7500 1
Cr4 0.7118 0.9618 0.7500 1
Co1 0.1371 0.3871 0.7500 1
Co2 0.8629 0.6129 0.2500 1
```



Which formula does entry 2 have? NaCdIn3



The highest VASP energy belongs to which entry? SmZn12Ag4



VASP energy of number 3 (Nb2TcIr2)? -9.34 eV/atom



Copy entry 11 word for word.
VASP calculation (PBE-GGA) on crystalline Cr2Co at its relaxed geometry.

Values from the calculation:
spin magnetization = 0.00 μB/f.u.
formation enthalpy at 0 K = 0.50 eV/atom
VASP energy = -8.29 eV/atom
crystal system = orthorhombic

Cell and atoms, written as CIF:
```
data_Cr2Co
_symmetry_space_group_name_H-M 'P 1'
_symmetry_Int_Tables_number 1
_cell_length_a 8.4944
_cell_length_b 8.4944
_cell_length_c 8.4944
_cell_angle_alpha 163.56
_cell_angle_beta 155.01
_cell_angle_gamma 30.06
loop_
_symmetry_equiv_pos_as_xyz
'x,y,z'
loop_
_atom_site_label
_atom_site_fract_x
_atom_site_fract_y
_atom_site_fract_z
_atom_site_occupancy
Cr1 0.2882 0.0382 0.2500 1
Cr2 0.4344 0.1844 0.2500 1
Cr3 0.5656 0.8156 0.7500 1
Cr4 0.7118 0.9618 0.7500 1
Co1 0.1371 0.3871 0.7500 1
Co2 0.8629 0.6129 0.2500 1
```